# 1
Entry from Alexandria: a relaxed CoHg2Pb crystal (GGA-PBE).

The space group is P4/mmm (No. 123) and the conventional cell measures 3.2061, 3.2061 and 8.4735 Å, with angles of 90.00, 90.00 and 90.00 degrees. The asymmetric unit holds Co at (0.0000, 0.0000, 0.0000), Hg at (0.5000, 0.5000, 0.1899) and Pb at (0.0000, 0.0000, 0.5000).

The value obtained for the magnetic moment is 1.45 μB per cell. Its energy of formation from the pure elements is 0.37 eV per atom.


# 2
Entry from Alexandria: a relaxed Mg2Nb2Zn crystal (GGA-PBE).

The space group is P4/mbm (No. 127) and the conventional cell measures 6.8130, 6.8130 and 4.3868 Å, with angles of 90.00, 90.00 and 90.00 degrees. The asymmetric unit holds Mg at (0.1700, 0.3300, 0.0000), Nb at (0.1270, 0.6270, 0.5000) and Zn at (0.0000, 0.0000, 0.5000).

The value obtained for the magnetic moment is 0.00 μB per cell. The calculation puts the energy above the most stable polymorph in this dataset at 0.000 eV per atom. Its energy of formation from the pure elements is 0.48 eV per atom.


# 3
Entry from Alexandria: a relaxed Lu2PdPb crystal (GGA-PBE).

The space group is R-3m (No. 166, hexagonal axes) and the conventional cell measures 3.7135, 3.7135 and 26.0401 Å, with angles of 90.00, 90.00 and 120.00 degrees. The asymmetric unit holds Lu at (0.0000, 0.0000, 0.2346), Pd at (0.0000, 0.0000, 0.5000) and Pb at (0.0000, 0.0000, 0.0000).

The value obtained for the magnetic moment is 0.00 μB per cell. Its energy of formation from the pure elements is -0.54 eV per atom.


# 4
Entry from Alexandria: a relaxed PuCo13 crystal (GGA-PBE).

The space group is Fm-3c (No. 226) and the conventional cell measures 11.1805, 11.1805 and 11.1805 Å, with angles of 90.00, 90.00 and 90.00 degrees. The asymmetric unit holds Pu at (0.2500, 0.2500, 0.2500), Co at (0.0000, 0.0000, 0.0000) and Co at (0.0000, 0.1192, 0.1784).

The value obtained for the magnetic moment is 121.03 μB per cell. Its energy of formation from the pure elements is 0.00 eV per atom.


# 5
Entry from Alexandria: a relaxed Ba2SnHg crystal (GGA-PBE).

The space group is Fm-3m (No. 225) and the conventional cell measures 8.4902, 8.4902 and 8.4902 Å, with angles of 90.00, 90.00 and 90.00 degrees. The asymmetric unit holds Ba at (0.2500, 0.2500, 0.2500), Sn at (0.0000, 0.0000, 0.0000) and Hg at (0.0000, 0.0000, 0.5000).

The value obtained for the magnetic moment is 0.00 μB per cell. The calculation puts the energy above the most stable polymorph in this dataset at 0.000 eV per atom. Its energy of formation from the pure elements is -0.64 eV per atom.


# 6
Entry from Alexandria: a relaxed KLaPt crystal (GGA-PBE).

The space group is F-43m (No. 216) and the conventional cell measures 7.2500, 7.2500 and 7.2500 Å, with angles of 90.00, 90.00 and 90.00 degrees. The asymmetric unit holds K at (0.0000, 0.0000, 0.0000), La at (0.0000, 0.0000, 0.5000) and Pt at (0.2500, 0.2500, 0.7500).

The value obtained for the magnetic moment is 0.00 μB per cell. The calculation puts the energy above the most stable polymorph in this dataset at 0.176 eV per atom. Its energy of formation from the pure elements is -0.29 eV per atom.


# 7
Entry from Alexandria: a relaxed Sr2LiTl crystal (GGA-PBE).

The space group is I-42d (No. 122) and the conventional cell measures 9.1525, 9.1525 and 7.4705 Å, with angles of 90.00, 90.00 and 90.00 degrees. The asymmetric unit holds Sr at (0.2451, 0.2500, 0.1250), Li at (0.0000, 0.0000, 0.5000) and Tl at (0.0000, 0.0000, 0.0000).

The value obtained for the magnetic moment is 0.00 μB per cell. The calculation puts the energy above the most stable polymorph in this dataset at 0.271 eV per atom. Its energy of formation from the pure elements is 0.03 eV per atom.


# 8
Entry from Alexandria: a relaxed SrOs3W crystal (GGA-PBE).

The space group is Pm-3m (No. 221) and the conventional cell measures 4.8154, 4.8154 and 4.8154 Å, with angles of 90.00, 90.00 and 90.00 degrees. The asymmetric unit holds Sr at (0.0000, 0.0000, 0.0000), Os at (0.0000, 0.5000, 0.5000) and W at (0.5000, 0.5000, 0.5000).

The value obtained for the magnetic moment is 0.00 μB per cell. The calculation puts the energy above the most stable polymorph in this dataset at 0.000 eV per atom. Its energy of formation from the pure elements is 1.46 eV per atom.


# 9
Entry from Alexandria: a relaxed La4InRu crystal (GGA-PBE).

The space group is F-43m (No. 216) and the conventional cell measures 14.2409, 14.2409 and 14.2409 Å, with angles of 90.00, 90.00 and 90.00 degrees. The asymmetric unit holds La at (0.0000, 0.0000, 0.1916), La at (0.0583, 0.2500, 0.2500), La at (0.1534, 0.1534, 0.6534), In at (0.0801, 0.0801, 0.4199) and Ru at (0.1366, 0.1366, 0.8634).

The value obtained for the magnetic moment is 0.00 μB per cell. The calculation puts the energy above the most stable polymorph in this dataset at 0.000 eV per atom. Its energy of formation from the pure elements is -0.37 eV per atom.


# 10
Entry from Alexandria: a relaxed Cu5HgPd6 crystal (GGA-PBE).

The space group is Cmmm (No. 65) and the conventional cell measures 4.3243, 12.9842 and 6.2126 Å, with angles of 90.00, 90.00 and 90.00 degrees. The asymmetric unit holds Cu at (0.0000, 0.0000, 0.0000), Cu at (0.0000, 0.3330, 0.5000), Cu at (0.0000, 0.3346, 0.0000), Hg at (0.0000, 0.0000, 0.5000), Pd at (0.0000, 0.1723, 0.2421) and Pd at (0.0000, 0.5000, 0.2329).

The value obtained for the magnetic moment is 0.00 μB per cell. Its energy of formation from the pure elements is -0.12 eV per atom.


# 11
Entry from Alexandria: a relaxed KNi crystal (GGA-PBE).

The space group is Cmcm (No. 63) and the conventional cell measures 2.7573, 12.3485 and 6.0271 Å, with angles of 90.00, 90.00 and 90.00 degrees. The asymmetric unit holds K at (0.0000, 0.1124, 0.2500) and Ni at (0.0000, 0.3635, 0.2500).

The value obtained for the magnetic moment is 2.10 μB per cell. The calculation puts the energy above the most stable polymorph in this dataset at 0.493 eV per atom. Its energy of formation from the pure elements is 1.01 eV per atom.


# 12
Entry from Alexandria: a relaxed ReAgOs2 crystal (GGA-PBE).

The space group is Cmmm (No. 65) and the conventional cell measures 5.5753, 7.7766 and 2.7747 Å, with angles of 90.00, 90.00 and 90.00 degrees. The asymmetric unit holds Re at (0.0000, 0.0000, 0.0000), Ag at (0.0000, 0.5000, 0.0000) and Os at (0.2500, 0.2500, 0.5000).

The value obtained for the magnetic moment is 0.00 μB per cell. The calculation puts the energy above the most stable polymorph in this dataset at 0.367 eV per atom. Its energy of formation from the pure elements is 0.63 eV per atom.